First-principles (PBE) data for a geometry-optimized GaSn2Cl structure, as listed in the Alexandria database.

Results
Energy above the lowest structure with this stoichiometry (eV per atom): 0.000
V (Å³/cell): 378
Spin magnetization (μB per formula unit): 0.00
Formation energy without anion corrections (eV/atom): -0.09
Raw total energy (Ry per atom): -0.243

Cell and atoms, written as CIF:
```
data_GaSn2Cl
_cell_length_a 7.232
_cell_length_b 7.232
_cell_length_c 7.232
_cell_angle_alpha 90.00
_cell_angle_beta 90.00
_cell_angle_gamma 90.00
_symmetry_space_group_name_H-M 'F m -3 m'
_symmetry_Int_Tables_number 225
_symmetry_space_group_name_Hall '-F 4 2 3'
loop_
_atom_site_label
_atom_site_fract_x
_atom_site_fract_y
_atom_site_fract_z
Ga1 0.000 0.000 0.000
Sn1 0.250 0.250 0.250
Cl1 0.000 0.000 0.500
```

First-principles (PBE) data for a geometry-optimized CoPt2Se structure, as listed in the Alexandria database.

Results
V (Å³/cell): 62
Spin magnetization (μB per formula unit): 2.27
Formation energy without anion corrections (eV/atom): 0.18
Raw total energy (Ry per atom): -0.403

Cell and atoms, written as CIF:
```
data_CoPt2Se
_cell_length_a 2.809
_cell_length_b 3.394
_cell_length_c 6.490
_cell_angle_alpha 90.00
_cell_angle_beta 90.09
_cell_angle_gamma 90.00
_symmetry_space_group_name_H-M 'P 1 2/m 1'
_symmetry_Int_Tables_number 10
_symmetry_space_group_name_Hall '-P 2y'
loop_
_atom_site_label
_atom_site_fract_x
_atom_site_fract_y
_atom_site_fract_z
Co1 0.000 0.000 0.000
Pt1 0.500 0.500 0.224
Se1 0.000 0.000 0.500
```

First-principles (PBE) data for a geometry-optimized Zr6Sn2N structure, as listed in the Alexandria database.

Results
Energy above the lowest structure with this stoichiometry (eV per atom): 0.000
V (Å³/cell): 367
Spin magnetization (μB per formula unit): 0.00
Formation energy without anion corrections (eV/atom): -0.66
Raw total energy (Ry per atom): -0.601

Cell and atoms, written as CIF:
```
data_Zr6Sn2N
_cell_length_a 6.241
_cell_length_b 6.241
_cell_length_c 9.429
_cell_angle_alpha 90.00
_cell_angle_beta 90.00
_cell_angle_gamma 90.00
_symmetry_space_group_name_H-M 'P 4/m n c'
_symmetry_Int_Tables_number 128
_symmetry_space_group_name_Hall '-P 4 2n'
loop_
_atom_site_label
_atom_site_fract_x
_atom_site_fract_y
_atom_site_fract_z
Zr1 0.000 0.000 0.247
Zr2 0.221 0.270 0.500
Sn1 0.000 0.500 0.250
N1 0.000 0.000 0.000
```

First-principles (PBE) data for a geometry-optimized TlTeOsN2 structure, as listed in the Alexandria database.

Results
Energy above the lowest structure with this stoichiometry (eV per atom): 1.790
V (Å³/cell): 115
Spin magnetization (μB per formula unit): 4.78
Formation energy without anion corrections (eV/atom): 2.58
Raw total energy (Ry per atom): -0.302

Cell and atoms, written as CIF:
```
data_TlTeOsN2
_cell_length_a 4.104
_cell_length_b 4.104
_cell_length_c 6.834
_cell_angle_alpha 90.00
_cell_angle_beta 90.00
_cell_angle_gamma 90.00
_symmetry_space_group_name_H-M 'P 4/m m m'
_symmetry_Int_Tables_number 123
_symmetry_space_group_name_Hall '-P 4 2'
loop_
_atom_site_label
_atom_site_fract_x
_atom_site_fract_y
_atom_site_fract_z
Tl1 0.000 0.000 0.000
Te1 0.000 0.000 0.500
Os1 0.500 0.500 0.500
N1 0.000 0.500 0.000
```

First-principles (PBE) data for a geometry-optimized Hf12CoSb6 structure, as listed in the Alexandria database.

Results
V (Å³/cell): 1363
Spin magnetization (μB per formula unit): 0.00
Formation energy without anion corrections (eV/atom): -0.13
Raw total energy (Ry per atom): -0.594

Cell and atoms, written as CIF:
```
data_Hf12CoSb6
_cell_length_a 12.0814
_cell_length_b 12.0814
_cell_length_c 10.7839
_cell_angle_alpha 90.00
_cell_angle_beta 90.00
_cell_angle_gamma 120.00
_symmetry_space_group_name_H-M 'R -3'
_symmetry_Int_Tables_number 148
_symmetry_space_group_name_Hall '-R 3'
loop_
_atom_site_label
_atom_site_fract_x
_atom_site_fract_y
_atom_site_fract_z
Hf1 0.0277 0.1705 0.3786
Hf2 0.0684 0.1847 0.8698
Co1 0.0000 0.0000 0.0000
Sb1 0.0378 0.4105 0.3000
```

First-principles (PBE) data for a geometry-optimized SrAl2Zn9 structure, as listed in the Alexandria database.

Results
ΔE_f (kcal/mol of atoms): -3.12
V (Å³/cell): 822
Spin magnetization (μB per formula unit): 0.00
Raw total energy (Ry per atom): -0.136

Cell and atoms, written as CIF:
```
data_SrAl2Zn9
_cell_length_a 10.749
_cell_length_b 10.749
_cell_length_c 7.111
_cell_angle_alpha 90.00
_cell_angle_beta 90.00
_cell_angle_gamma 90.00
_symmetry_space_group_name_H-M 'I 41/a m d'
_symmetry_Int_Tables_number 141
loop_
_symmetry_equiv_pos_as_xyz
'x,y,z'
'-x,-y,-z'
'-y+1/4,x+3/4,z+1/4'
'y+1/4,-x+3/4,-z+1/4'
'-x+1/2,-y,z+1/2'
'x+1/2,y,-z+1/2'
'y+1/4,-x+1/4,z+3/4'
'-y+1/4,x+1/4,-z+3/4'
'x,-y,-z'
'-x,y,z'
'-y+1/4,-x+1/4,-z+3/4'
'y+1/4,x+1/4,z+3/4'
'-x+1/2,y,-z+1/2'
'x+1/2,-y,z+1/2'
'y+1/4,x+3/4,-z+1/4'
'-y+1/4,-x+3/4,z+1/4'
'x+1/2,y+1/2,z+1/2'
'-x+1/2,-y+1/2,-z+1/2'
'-y+3/4,x+1/4,z+3/4'
'y+3/4,-x+1/4,-z+3/4'
'-x,-y+1/2,z'
'x,y+1/2,-z'
'y+3/4,-x+3/4,z+1/4'
'-y+3/4,x+3/4,-z+1/4'
'x+1/2,-y+1/2,-z+1/2'
'-x+1/2,y+1/2,z+1/2'
'-y+3/4,-x+3/4,-z+1/4'
'y+3/4,x+3/4,z+1/4'
'-x,y+1/2,-z'
'x,-y+1/2,z'
'y+3/4,x+1/4,-z+3/4'
'-y+3/4,-x+1/4,z+3/4'
loop_
_atom_site_label
_atom_site_fract_x
_atom_site_fract_y
_atom_site_fract_z
Sr1 0.000 0.250 0.375
Al1 0.000 0.000 0.000
Zn1 0.000 0.250 0.875
Zn2 0.122 0.043 0.676
```

First-principles (PBE) data for a geometry-optimized ZrTa3Bi structure, as listed in the Alexandria database.

Results
Energy above the lowest structure with this stoichiometry (eV per atom): 0.245
ΔE_f (kcal/mol of atoms): 45.63
V (Å³/cell): 132
Spin magnetization (μB per formula unit): 0.00
Raw total energy (Ry per atom): -0.560

Cell and atoms, written as CIF:
```
data_ZrTa3Bi
_cell_length_a 5.097
_cell_length_b 5.097
_cell_length_c 5.097
_cell_angle_alpha 90.00
_cell_angle_beta 90.00
_cell_angle_gamma 90.00
_symmetry_space_group_name_H-M 'P m -3 m'
_symmetry_Int_Tables_number 221
_symmetry_space_group_name_Hall '-P 4 2 3'
loop_
_atom_site_label
_atom_site_fract_x
_atom_site_fract_y
_atom_site_fract_z
Zr1 0.000 0.000 0.000
Ta1 0.000 0.500 0.500
Bi1 0.500 0.500 0.500
```

First-principles (PBE) data for a geometry-optimized YCrReI2 structure, as listed in the Alexandria database.

Results
V (Å³/cell): 158
Spin magnetization (μB per formula unit): 4.51
Formation energy without anion corrections (eV/atom): 1.05
Raw total energy (Ry per atom): -0.388

Cell and atoms, written as CIF:
```
data_YCrReI2
_cell_length_a 5.423
_cell_length_b 5.423
_cell_length_c 5.369
_cell_angle_alpha 90.00
_cell_angle_beta 90.00
_cell_angle_gamma 90.00
_symmetry_space_group_name_H-M 'P 4/m m m'
_symmetry_Int_Tables_number 123
_symmetry_space_group_name_Hall '-P 4 2'
loop_
_atom_site_label
_atom_site_fract_x
_atom_site_fract_y
_atom_site_fract_z
Y1 0.000 0.000 0.000
Cr1 0.500 0.500 0.000
Re1 0.000 0.000 0.500
I1 0.000 0.500 0.500
```

First-principles (PBE) data for a geometry-optimized CeYSO2 structure, as listed in the Alexandria database.

Results
V (Å³/cell): 178
Spin magnetization (μB per formula unit): 1.00
Formation energy without anion corrections (eV/atom): -2.96
Raw total energy (Ry per atom): -0.606

Cell and atoms, written as CIF:
```
data_CeYSO2
_cell_length_a 3.836
_cell_length_b 3.836
_cell_length_c 12.111
_cell_angle_alpha 90.00
_cell_angle_beta 90.00
_cell_angle_gamma 90.00
_symmetry_space_group_name_H-M 'I 4 m m'
_symmetry_Int_Tables_number 107
_symmetry_space_group_name_Hall 'I 4 -2'
loop_
_atom_site_label
_atom_site_fract_x
_atom_site_fract_y
_atom_site_fract_z
Ce1 0.000 0.000 0.000
Y1 0.000 0.000 0.299
S1 0.000 0.000 0.650
O1 0.000 0.500 0.394
```

First-principles (PBE) data for a geometry-optimized Cs2CdBCl6 structure, as listed in the Alexandria database.

Results
V (Å³/cell): 565
Spin magnetization (μB per formula unit): 0.00
Formation energy without anion corrections (eV/atom): -0.99
Raw total energy (Ry per atom): -0.222

Cell and atoms, written as CIF:
```
data_Cs2CdBCl6
_cell_length_a 7.115
_cell_length_b 7.115
_cell_length_c 11.166
_cell_angle_alpha 90.00
_cell_angle_beta 90.00
_cell_angle_gamma 90.00
_symmetry_space_group_name_H-M 'I 4/m m m'
_symmetry_Int_Tables_number 139
_symmetry_space_group_name_Hall '-I 4 2'
loop_
_atom_site_label
_atom_site_fract_x
_atom_site_fract_y
_atom_site_fract_z
Cs1 0.000 0.500 0.250
Cd1 0.000 0.000 0.000
B1 0.000 0.000 0.500
Cl1 0.000 0.000 0.233
Cl2 0.206 0.206 0.500
```

First-principles (PBE) data for a geometry-optimized Sm2BiH structure, as listed in the Alexandria database.

Results
Energy above the lowest structure with this stoichiometry (eV per atom): 0.183
V (Å³/cell): 306
Spin magnetization (μB per formula unit): 0.00
Raw total energy (Ry per atom): -0.339

Cell and atoms, written as CIF:
```
data_Sm2BiH
_cell_length_a 4.2126
_cell_length_b 4.2126
_cell_length_c 19.8865
_cell_angle_alpha 90.00
_cell_angle_beta 90.00
_cell_angle_gamma 120.00
_symmetry_space_group_name_H-M 'R -3 m'
_symmetry_Int_Tables_number 166
_symmetry_space_group_name_Hall '-R 3 2"'
loop_
_atom_site_label
_atom_site_fract_x
_atom_site_fract_y
_atom_site_fract_z
Sm1 0.0000 0.0000 0.2348
Bi1 0.0000 0.0000 0.0000
H1 0.0000 0.0000 0.5000
```

First-principles (PBE) data for a geometry-optimized Ba2HgO3 structure, as listed in the Alexandria database.

Results
Energy above the lowest structure with this stoichiometry (eV per atom): 0.000
V (Å³/cell): 603
Spin magnetization (μB per formula unit): 0.08
Formation energy without anion corrections (eV/atom): -1.84
Raw total energy (Ry per atom): -0.368

Cell and atoms, written as CIF:
```
data_Ba2HgO3
_cell_length_a 12.146
_cell_length_b 8.224
_cell_length_c 7.029
_cell_angle_alpha 90.00
_cell_angle_beta 120.84
_cell_angle_gamma 90.00
_symmetry_space_group_name_H-M 'C 1 2/c 1'
_symmetry_Int_Tables_number 15
_symmetry_space_group_name_Hall '-C 2yc'
loop_
_atom_site_label
_atom_site_fract_x
_atom_site_fract_y
_atom_site_fract_z
Ba1 0.157 0.121 0.130
Hg1 0.000 0.458 0.750
O1 0.000 0.007 0.250
O2 0.176 0.443 0.024
```

Q: Which value of raw total energy does entry 6 give?
A: -0.136 Ry per atom